{"formula": "CeAl2", "functional": "GGA-PBEsol", "state": "relaxed", "cell": [[0.000, 3.931, 3.931], [3.931, 0.000, 3.931], [3.931, 3.931, 0.000]], "species": ["Ce", "Ce", "Al", "Al", "Al", "Al"], "frac_coords": [[0.125, 0.125, 0.125], [0.875, 0.875, 0.875], [0.000, 0.500, 0.500], [0.500, 0.000, 0.500], [0.500, 0.500, 0.000], [0.500, 0.500, 0.500]], "rho_g_cm3": 5.3, "space_group": "Fd-3m, No. 227", "n_ef_per_ev_cell": 10.8, "formation_enthalpy_0k_ev_per_atom": -0.4203}